{
  "formula": "LiHoTe4Pb2",
  "functional": "PBE-GGA",
  "state": "relaxed",
  "lattice_angstrom": [[7.711, 0.000, 0.000], [0.000, 4.480, 0.000], [-2.525, 0.000, 7.410]],
  "species": ["Li", "Ho", "Te", "Te", "Te", "Te", "Pb", "Pb"],
  "fractional_positions": [[0.000, 0.000, 0.000], [0.500, 0.500, 0.000], [0.244, 0.500, 0.228], [0.255, 0.000, 0.771], [0.745, 0.000, 0.229], [0.756, 0.500, 0.772], [0.000, 0.500, 0.500], [0.500, 0.000, 0.500]],
  "raw_formation_energy_ev_per_atom": -0.802,
  "total_magnetization_mub_per_atom": 0.00,
  "spacegroup": "P2/m",
  "crystal_system": "monoclinic"
}

***

{
  "formula": "BaYRe2",
  "functional": "PBE-GGA",
  "state": "relaxed",
  "lattice_angstrom": [[-2.063, 2.063, 5.123], [2.063, -2.063, 5.123], [2.063, 2.063, -5.123]],
  "species": ["Ba", "Y", "Re", "Re"],
  "fractional_positions": [[0.000, 0.000, 0.000], [0.500, 0.500, 0.000], [0.250, 0.750, 0.500], [0.750, 0.250, 0.500]],
  "ef_ev_per_atom": 1.336,
  "n_ef_per_ev_atom": 1.183,
  "total_magnetization_mub_per_atom": 0.00,
  "spacegroup": "I4/mmm",
  "crystal_system": "tetragonal"
}

***

{
  "formula": "TbNd3Rh4",
  "functional": "PBE-GGA",
  "state": "relaxed",
  "lattice_angstrom": [[3.479, 0.000, 0.000], [0.000, 3.479, 0.000], [0.000, 0.000, 14.393]],
  "species": ["Tb", "Nd", "Nd", "Nd", "Rh", "Rh", "Rh", "Rh"],
  "fractional_positions": [[0.000, 0.000, 0.000], [0.000, 0.000, 0.247], [0.000, 0.000, 0.500], [0.000, 0.000, 0.753], [0.500, 0.500, 0.117], [0.500, 0.500, 0.373], [0.500, 0.500, 0.627], [0.500, 0.500, 0.883]],
  "ef_ev_per_atom": -0.674,
  "n_ef_per_ev_atom": 0.874,
  "total_magnetization_mub_per_atom": 0.00,
  "spacegroup": "P4/mmm",
  "crystal_system": "tetragonal"
}

***

{
  "formula": "SmThSe3",
  "functional": "PBE-GGA",
  "state": "relaxed",
  "lattice_angstrom": [[8.010, 0.000, 0.000], [0.000, 4.106, 0.000], [0.000, 0.000, 16.168]],
  "species": ["Sm", "Sm", "Sm", "Sm", "Th", "Th", "Th", "Th", "Se", "Se", "Se", "Se", "Se", "Se", "Se", "Se", "Se", "Se", "Se", "Se"],
  "fractional_positions": [[0.085, 0.250, 0.211], [0.415, 0.750, 0.711], [0.585, 0.250, 0.289], [0.915, 0.750, 0.789], [0.249, 0.750, 0.459], [0.251, 0.250, 0.959], [0.749, 0.750, 0.041], [0.751, 0.250, 0.541], [0.010, 0.250, 0.399], [0.123, 0.750, 0.076], [0.183, 0.250, 0.778], [0.317, 0.750, 0.278], [0.377, 0.250, 0.576], [0.490, 0.750, 0.899], [0.510, 0.250, 0.101], [0.623, 0.750, 0.424], [0.683, 0.250, 0.722], [0.817, 0.750, 0.222], [0.877, 0.250, 0.924], [0.990, 0.750, 0.601]],
  "raw_formation_energy_ev_per_atom": -1.794,
  "n_ef_per_ev_atom": 0.528,
  "total_magnetization_mub_per_atom": 0.00,
  "spacegroup": "Pnma",
  "crystal_system": "orthorhombic"
}

***

{
  "formula": "Pr8Pd3Pt2",
  "functional": "PBE-GGA",
  "state": "relaxed",
  "lattice_angstrom": [[7.719, -3.788, 0.000], [7.719, 3.788, 0.000], [-1.460, 0.000, 6.606]],
  "species": ["Pr", "Pr", "Pr", "Pr", "Pr", "Pr", "Pr", "Pr", "Pd", "Pd", "Pd", "Pt", "Pt"],
  "fractional_positions": [[0.076, 0.076, 0.334], [0.123, 0.617, 0.125], [0.331, 0.331, 0.616], [0.383, 0.877, 0.875], [0.617, 0.123, 0.125], [0.669, 0.669, 0.384], [0.877, 0.383, 0.875], [0.924, 0.924, 0.666], [0.319, 0.681, 0.500], [0.500, 0.500, 0.000], [0.681, 0.319, 0.500], [0.234, 0.234, 0.184], [0.766, 0.766, 0.816]],
  "ef_ev_per_atom": -0.601,
  "n_ef_per_ev_atom": 0.940,
  "total_magnetization_mub_per_atom": 0.00,
  "spacegroup": "C2/m",
  "crystal_system": "monoclinic"
}

***

{
  "formula": "ErTh4Pt5",
  "functional": "PBE-GGA",
  "state": "relaxed",
  "lattice_angstrom": [[-4.661, 4.661, 2.950], [4.661, -4.661, 2.950], [4.661, 4.661, -2.950]],
  "species": ["Er", "Th", "Th", "Th", "Th", "Pt", "Pt", "Pt", "Pt", "Pt"],
  "fractional_positions": [[0.000, 0.000, 0.000], [0.200, 0.402, 0.603], [0.402, 0.800, 0.202], [0.598, 0.200, 0.798], [0.800, 0.598, 0.397], [0.100, 0.702, 0.802], [0.298, 0.100, 0.398], [0.500, 0.500, 0.000], [0.702, 0.900, 0.602], [0.900, 0.298, 0.198]],
  "ef_ev_per_atom": -1.203,
  "n_ef_per_ev_atom": 0.615,
  "total_magnetization_mub_per_atom": 0.00,
  "spacegroup": "I4/m",
  "crystal_system": "tetragonal"
}

***

{
  "formula": "GaPF2",
  "functional": "PBE-GGA",
  "state": "relaxed",
  "lattice_angstrom": [[1.384, 0.799, 7.878], [-1.384, 0.799, 7.878], [0.000, -1.598, 7.878]],
  "species": ["Ga", "P", "F", "F"],
  "fractional_positions": [[0.000, 0.000, 0.000], [0.500, 0.500, 0.500], [0.087, 0.087, 0.087], [0.913, 0.913, 0.913]],
  "raw_formation_energy_ev_per_atom": -0.816,
  "n_ef_per_ev_atom": 0.506,
  "total_magnetization_mub_per_atom": 0.11,
  "spacegroup": "R-3m",
  "crystal_system": "trigonal"
}

***

{
  "formula": "Mg2In2Sb",
  "functional": "PBE-GGA",
  "state": "relaxed",
  "lattice_angstrom": [[8.560, 0.000, 0.000], [0.000, 8.560, 0.000], [0.000, 0.000, 3.429]],
  "species": ["Mg", "Mg", "Mg", "Mg", "In", "In", "In", "In", "Sb", "Sb"],
  "fractional_positions": [[0.128, 0.372, 0.000], [0.372, 0.872, 0.000], [0.628, 0.128, 0.000], [0.872, 0.628, 0.000], [0.172, 0.672, 0.500], [0.328, 0.172, 0.500], [0.672, 0.828, 0.500], [0.828, 0.328, 0.500], [0.000, 0.000, 0.000], [0.500, 0.500, 0.000]],
  "raw_formation_energy_ev_per_atom": 0.013,
  "n_ef_per_ev_atom": 0.541,
  "total_magnetization_mub_per_atom": 0.00,
  "spacegroup": "P4/mbm",
  "crystal_system": "tetragonal"
}

***

{
  "formula": "KCd2Sb",
  "functional": "PBE-GGA",
  "state": "relaxed",
  "lattice_angstrom": [[3.590, 0.000, 0.000], [0.000, 5.649, 0.000], [0.000, 0.000, 5.805]],
  "species": ["K", "Cd", "Cd", "Sb"],
  "fractional_positions": [[0.000, 0.000, 0.000], [0.000, 0.500, 0.500], [0.500, 0.500, 0.000], [0.500, 0.000, 0.500]],
  "raw_formation_energy_ev_per_atom": 0.026,
  "n_ef_per_ev_atom": 0.323,
  "total_magnetization_mub_per_atom": 0.00,
  "spacegroup": "Pmmm",
  "crystal_system": "orthorhombic"
}

***

{
  "formula": "BeSiAu2",
  "functional": "PBE-GGA",
  "state": "relaxed",
  "lattice_angstrom": [[2.823, 0.000, 0.000], [0.000, 2.823, 0.000], [0.000, 0.000, 7.543]],
  "species": ["Be", "Si", "Au", "Au"],
  "fractional_positions": [[0.000, 0.000, 0.000], [0.500, 0.500, 0.189], [0.000, 0.000, 0.467], [0.500, 0.500, 0.790]],
  "raw_formation_energy_ev_per_atom": 0.168,
  "n_ef_per_ev_atom": 0.341,
  "total_magnetization_mub_per_atom": 0.00,
  "spacegroup": "P4mm",
  "crystal_system": "tetragonal"
}